Record 1
GGA-PBE Na4Be5P6, optimized geometry; energy = -4.0559 eV per atom; density of states at the Fermi level = 0.178 states/eV per atom; energy of formation = -0.30 eV per atom; SG = No. 36
1.0
1.8113 -9.3475 0.0000
1.8113 9.3475 0.0000
0.0000 0.0000 15.3313
Na Be P
8 10 12
Cartesian
1.8113 9.2041 7.6656
1.8113 8.9410 4.1173
1.8113 6.3929 11.2973
1.8113 5.7202 1.8358
1.8113 -5.7202 9.5014
1.8113 -6.3929 3.6317
1.8113 -8.9410 11.7830
1.8113 -9.2041 0.0000
1.8113 6.4816 6.3503
1.8113 4.1084 6.6474
1.8113 3.2587 12.5219
1.8113 2.5141 0.4305
1.8113 2.0704 7.5838
1.8113 -2.0704 15.2494
1.8113 -2.5141 8.0962
1.8113 -3.2587 4.8562
1.8113 -4.1084 14.3130
1.8113 -6.4816 14.0159
1.8113 6.7216 14.2632
1.8113 5.5800 8.3218
1.8113 5.0258 4.6357
1.8113 1.5616 13.7446
1.8113 1.1207 9.5301
1.8113 0.9769 2.1357
1.8113 -0.9769 9.8013
1.8113 -1.1207 1.8645
1.8113 -1.5616 6.0790
1.8113 -5.0258 12.3013
1.8113 -5.5800 0.6561
1.8113 -6.7216 6.5976


Record 2
GGA-PBE Sm3Rh2Au3, optimized geometry; energy = -5.6329 eV per atom; density of states at the Fermi level = 0.495 states/eV per atom; energy of formation = -0.80 eV per atom; SG = No. 189
1.0
7.3297 0.0000 0.0000
-3.6649 6.3477 0.0000
0.0000 0.0000 3.7837
Sm Rh Au
3 2 3
Cartesian
-2.1839 3.7827 0.0000
1.4810 2.5651 0.0000
4.3678 0.0000 0.0000
0.0000 4.2318 1.8919
3.6649 2.1159 1.8919
-0.8457 1.4647 1.8919
1.6913 0.0000 1.8919
2.8192 4.8830 1.8919


Record 3
GGA-PBE TbThSn2, optimized geometry; energy = -5.4788 eV per atom; offset from the most stable computed form = 167.7 meV per atom; density of states at the Fermi level = 1.798 states/eV per atom; energy of formation = -0.46 eV per atom; SG = No. 225
1.0
0.0000 3.8400 3.8400
3.8400 0.0000 3.8400
3.8400 3.8400 0.0000
Tb Th Sn
1 1 2
Cartesian
0.0000 0.0000 0.0000
3.8400 3.8400 3.8400
1.9200 1.9200 1.9200
5.7600 5.7600 5.7600


Record 4
GGA-PBE SmTh2P3Ir12, optimized geometry; energy = -8.0302 eV per atom; density of states at the Fermi level = 0.679 states/eV per atom; energy of formation = -0.13 eV per atom; SG = No. 166
1.0
4.6306 2.6735 4.3006
-4.6306 2.6735 4.3006
0.0000 -5.3469 4.3006
Sm Th P Ir
1 2 3 12
Cartesian
0.0000 0.0000 0.0000
0.0000 0.0000 4.6301
0.0000 0.0000 8.2717
-4.6305 0.0000 6.4509
-2.3153 1.3367 2.1503
2.3153 1.3367 2.1503
-2.3837 -1.3762 5.8418
0.0000 -2.6073 4.3989
-2.2579 1.3036 4.3989
-2.2579 -1.3036 8.5028
0.0000 -2.7524 7.0600
-2.3837 1.3762 7.0600
2.3837 -1.3762 5.8418
0.0000 2.7524 5.8418
2.2579 1.3036 4.3990
2.2580 -1.3036 8.5028
0.0000 2.6072 8.5028
2.3837 1.3762 7.0600